Entry 1:
# RbP, optimized geometry, DFT GGA-PBE
# energy above the lowest structure with this stoichiometry: 203.8 meV per atom
# ΔE_f: -16.35 kJ per mole of atoms
# volume: 45.82 Å³ per atom
data_RbP
_cell_length_a 7.452
_cell_length_b 7.452
_cell_length_c 6.600
_cell_angle_alpha 90.00
_cell_angle_beta 90.00
_cell_angle_gamma 90.00
_symmetry_space_group_name_H-M 'P 42/m n m'
_symmetry_Int_Tables_number 136
_symmetry_space_group_name_Hall '-P 4n 2n'
loop_
_atom_site_label
_atom_site_type_symbol
_atom_site_fract_x
_atom_site_fract_y
_atom_site_fract_z
Rb1 Rb 0.194 0.194 0.000
P1 P 0.099 0.099 0.500

---

Entry 2:
# RbP, optimized geometry, DFT GGA-PBE
# energy above the lowest structure with this stoichiometry: 176.5 meV per atom
# ΔE_f: -18.98 kJ per mole of atoms
# volume: 45.47 Å³ per atom
data_RbP
_cell_length_a 3.999
_cell_length_b 5.452
_cell_length_c 9.302
_cell_angle_alpha 104.13
_cell_angle_beta 90.52
_cell_angle_gamma 111.49
_symmetry_space_group_name_H-M 'P -1'
_symmetry_Int_Tables_number 2
_symmetry_space_group_name_Hall '-P 1'
loop_
_atom_site_label
_atom_site_type_symbol
_atom_site_fract_x
_atom_site_fract_y
_atom_site_fract_z
Rb1 Rb 0.058 0.109 0.218
P1 P 0.302 0.602 0.034

---

Entry 3:
# Rb2P3, optimized geometry, DFT GGA-PBE
# ΔE_f: -42.28 kJ per mole of atoms
# volume: 33.05 Å³ per atom
data_Rb2P3
_cell_length_a 9.104
_cell_length_b 9.772
_cell_length_c 14.860
_cell_angle_alpha 90.00
_cell_angle_beta 90.00
_cell_angle_gamma 90.00
_symmetry_space_group_name_H-M 'F m m m'
_symmetry_Int_Tables_number 69
_symmetry_space_group_name_Hall '-F 2 2'
loop_
_atom_site_label
_atom_site_type_symbol
_atom_site_fract_x
_atom_site_fract_y
_atom_site_fract_z
Rb1 Rb 0.000 0.223 0.000
Rb2 Rb 0.250 0.250 0.250
P1 P 0.000 0.000 0.353
P2 P 0.206 0.000 0.427

---

Entry 4:
# RbP, optimized geometry, DFT GGA-PBE
# energy above the lowest structure with this stoichiometry: 124.7 meV per atom
# ΔE_f: -23.98 kJ per mole of atoms
# volume: 30.79 Å³ per atom
data_RbP
_cell_length_a 3.559
_cell_length_b 10.131
_cell_length_c 6.830
_cell_angle_alpha 90.00
_cell_angle_beta 90.00
_cell_angle_gamma 90.00
_symmetry_space_group_name_H-M 'I m m 2'
_symmetry_Int_Tables_number 44
_symmetry_space_group_name_Hall 'I 2 -2'
loop_
_atom_site_label
_atom_site_type_symbol
_atom_site_fract_x
_atom_site_fract_y
_atom_site_fract_z
Rb1 Rb 0.000 0.196 0.000
P1 P 0.000 0.000 0.459
P2 P 0.000 0.500 0.173

---

Entry 5:
# RbP, optimized geometry, DFT GGA-PBE
# energy above the lowest structure with this stoichiometry: 175.3 meV per atom
# ΔE_f: -19.10 kJ per mole of atoms
# volume: 38.48 Å³ per atom
data_RbP
_cell_length_a 12.211
_cell_length_b 12.211
_cell_length_c 4.129
_cell_angle_alpha 90.00
_cell_angle_beta 90.00
_cell_angle_gamma 90.00
_symmetry_space_group_name_H-M 'P 4/m'
_symmetry_Int_Tables_number 83
_symmetry_space_group_name_Hall '-P 4'
loop_
_atom_site_label
_atom_site_type_symbol
_atom_site_fract_x
_atom_site_fract_y
_atom_site_fract_z
Rb1 Rb 0.002 0.272 0.000
Rb2 Rb 0.320 0.677 0.500
P1 P 0.087 0.465 0.500
P2 P 0.164 0.515 0.000

---

Entry 6:
# RbP, optimized geometry, DFT GGA-PBE
# energy above the lowest structure with this stoichiometry: 711.5 meV per atom
# ΔE_f: 32.64 kJ per mole of atoms
# volume: 26.99 Å³ per atom
data_RbP
_cell_length_a 3.204
_cell_length_b 3.204
_cell_length_c 5.257
_cell_angle_alpha 90.00
_cell_angle_beta 90.00
_cell_angle_gamma 90.00
_symmetry_space_group_name_H-M 'P 4/m m m'
_symmetry_Int_Tables_number 123
_symmetry_space_group_name_Hall '-P 4 2'
loop_
_atom_site_label
_atom_site_type_symbol
_atom_site_fract_x
_atom_site_fract_y
_atom_site_fract_z
Rb1 Rb 0.000 0.000 0.000
P1 P 0.500 0.500 0.500

---

Entry 7:
# RbP, optimized geometry, DFT GGA-PBE
# energy above the lowest structure with this stoichiometry: 103.0 meV per atom
# ΔE_f: -26.08 kJ per mole of atoms
# volume: 39.66 Å³ per atom
data_RbP
_cell_length_a 4.107
_cell_length_b 9.156
_cell_length_c 8.436
_cell_angle_alpha 90.00
_cell_angle_beta 90.00
_cell_angle_gamma 90.00
_symmetry_space_group_name_H-M 'I m m a'
_symmetry_Int_Tables_number 74
_symmetry_space_group_name_Hall '-I 2b 2'
loop_
_atom_site_label
_atom_site_type_symbol
_atom_site_fract_x
_atom_site_fract_y
_atom_site_fract_z
Rb1 Rb 0.000 0.000 0.000
P1 P 0.000 0.250 0.312

---

Entry 8:
# RbP, optimized geometry, DFT GGA-PBE
# energy above the lowest structure with this stoichiometry: 1071.2 meV per atom
# ΔE_f: 67.34 kJ per mole of atoms
# volume: 54.47 Å³ per atom
data_RbP
_cell_length_a 5.9907
_cell_length_b 5.9907
_cell_length_c 7.0102
_cell_angle_alpha 90.00
_cell_angle_beta 90.00
_cell_angle_gamma 120.00
_symmetry_space_group_name_H-M 'P 63/m m c'
_symmetry_Int_Tables_number 194
_symmetry_space_group_name_Hall '-P 6c 2c'
loop_
_atom_site_label
_atom_site_type_symbol
_atom_site_fract_x
_atom_site_fract_y
_atom_site_fract_z
Rb1 Rb 0.3333 0.6667 0.2500
P1 P 0.3333 0.6667 0.7500